CoTc4O12 | PBE with a Hubbard U | optimized geometry

Results
Total moment: 1.31 μB per cell
Energy: -7.51 eV/atom
Crystal system: orthorhombic
Density: 5.1 g cm⁻³

a b c (Å): 6.4630 6.4630 6.4630
angles (deg): 109.85 109.79 108.78
Last column: nearest neighbours and their distance in Å.
Sites, in units of the cell vectors:
Co 0.0000 0.0000 0.0000  4 O 1.96
Tc 0.0000 0.0000 0.5000  6 O 1.89-2.00
Tc 0.0000 0.5000 0.0000  6 O 1.89-2.00
Tc 0.5000 0.0000 0.0000  6 O 1.89-2.00
Tc 0.5000 0.5000 0.5000  6 O 1.89-2.00
O 0.0372 0.2974 0.7398  2 Tc 1.89
O 0.1863 0.1858 0.3721  1 Co 1.96, 2 Tc 2.00
O 0.1863 0.8142 0.0005  1 Co 1.96, 2 Tc 2.00
O 0.2987 0.0505 0.7518  2 Tc 1.89
O 0.2987 0.5468 0.2482  2 Tc 1.89
O 0.4425 0.7026 0.7398  2 Tc 1.89
O 0.5575 0.2974 0.2602  2 Tc 1.89
O 0.7013 0.4532 0.7518  2 Tc 1.89
O 0.7013 0.9495 0.2482  2 Tc 1.89
O 0.8137 0.1858 0.9995  1 Co 1.96, 2 Tc 2.00
O 0.8137 0.8142 0.6279  1 Co 1.96, 2 Tc 2.00
O 0.9628 0.7026 0.2602  2 Tc 1.89